Record 1
DFT (GGA-PBE) results for a relaxed KZr2Ta4 crystal.

a = 4.5742 Å, b = 4.5742 Å, c = 8.1456 Å
α = 73.69°, β = 73.69°, γ = 90.00°
With the nearest neighbours (Å) after each atom.
Atoms (fractional coordinates):
K 0.0000 0.0000 0.0000  4 Ta 2.29
Zr 0.6330 0.6330 0.7340  5 Ta 2.71-3.03
Zr 0.3670 0.3670 0.2660  5 Ta 2.71-3.03
Ta 0.8143 0.8143 0.3714  1 Zr 2.71, 1 K 2.78
Ta 0.1857 0.1857 0.6286  1 Zr 2.71, 1 K 2.78
Ta 0.0000 0.5000 0.0000  2 K 2.29
Ta 0.5000 0.0000 0.0000  2 K 2.29

energy = -0.2640 Ha/atom
V = 156.4 Å³/f.u.
magnetic moment = 0.208 μB/atom
energy of formation = 2.190 eV per atom

Record 2
DFT (GGA-PBE) results for a relaxed Tl3VIn crystal.

a = 5.4149 Å, b = 5.4149 Å, c = 5.4149 Å
α = 90.00°, β = 90.00°, γ = 90.00°
With the nearest neighbours (Å) after each atom.
Atoms (fractional coordinates):
Tl 0.0000 0.5000 0.0000  2 V 2.71
Tl 0.0000 0.0000 0.5000  2 V 2.71
Tl 0.5000 0.0000 0.0000  2 V 2.71
In 0.5000 0.5000 0.5000  12 Tl 3.83
V 0.0000 0.0000 0.0000  6 Tl 2.71

energy = -0.1229 Ha/atom
V = 158.8 Å³/f.u.
magnetic moment = 0.525 μB/atom
energy of formation = 0.447 eV per atom

Record 3
DFT (GGA-PBE) results for a relaxed TbIr2Rh crystal.

a = 4.1538 Å, b = 4.0166 Å, c = 4.0166 Å
α = 90.00°, β = 90.00°, γ = 90.00°
With the nearest neighbours (Å) after each atom.
Atoms (fractional coordinates):
Rh 0.5000 0.5000 0.5000  4 Tb 2.84, 8 Ir 2.89
Ir 0.0000 0.0000 0.5000  4 Ir 2.84, 4 Tb 2.89, 4 Rh 2.89
Ir 0.0000 0.5000 0.0000  4 Ir 2.84, 4 Tb 2.89, 4 Rh 2.89
Tb 0.5000 0.0000 0.0000  4 Rh 2.84, 8 Ir 2.89

energy = -0.2885 Ha/atom
V = 67.0 Å³/f.u.
excess energy over the best structure of this formula in the dataset = 0.0 meV per atom
magnetic moment = 0.000 μB/atom
energy of formation = -0.424 eV per atom